Density functional theory data (PBE) for a geometry-optimized Pm4POsCl2 structure.

Results
As for the density of states at the Fermi level: 0.71 states/eV/atom. The calculation puts the energy relative to the elements, uncorrected at -1.168 eV/atom. Its total energy is -48.679 eV per cell.

```
Pm4POsCl2
1.0
-0.8509 -1.1992 -3.7861
-1.8316 -6.7724 2.5566
-7.1849 0.2248 1.5434
Pm P Os Cl
4 1 1 2
Direct
0.0000 0.7103 0.7721 Pm
0.0000 0.2897 0.2279 Pm
0.5000 0.7046 0.2531 Pm
0.5000 0.2954 0.7469 Pm
0.0000 0.5000 0.5000 P
0.5000 0.5000 0.0000 Os
0.0000 0.0000 0.0000 Cl
0.5000 0.0000 0.5000 Cl
```